The following is a PBE+U calculation of crystalline BMoF2 at its relaxed geometry, from the Alexandria database.

Values from the calculation:
energy above the most stable polymorph in this dataset	0	meV per atom
space-group type	R-3m
M_tot	0.5	μB per formula unit

a = 7.6494 Å, b = 7.6494 Å, c = 7.6494 Å
α = 19.76°, β = 19.76°, γ = 19.76°
Closest atoms and distances in Å follow each position.
Fractional positions:
1 Mo 0.5000 0.5000 0.5000  6 Mo 2.63, 6 F 2.73
2 B 0.0000 0.0000 0.0000  2 F 1.48
3 F 0.9343 0.9343 0.9343  1 B 1.48
4 F 0.0657 0.0657 0.0657  1 B 1.48